First-principles (PBE) data for an optimized crystal structure of Tb5YMg3, as listed in Alexandria.

a = 9.3833 Å, b = 9.3833 Å, c = 6.9590 Å
α = 90.00°, β = 90.00°, γ = 120.00°
Space group P6_3/mcm (No. 193)
Unique sites:
Tb  0.0000  0.3344  0.2500
Tb  0.3333  0.6667  0.0000
Y  0.0000  0.0000  0.0000
Mg  0.0000  0.3318  0.7500

## Properties
Calculated total energy (eV per atom): -3.82
Theoretical density (g/cm³): 6.0
Density of states at the Fermi level (states/eV/f.u.): 9.965
ΔE_f (meV/atom): 3



First-principles (PBE) data for an optimized crystal structure of Tb3Y12Mg, as listed in Alexandria.

a = 5.0205 Å, b = 5.0205 Å, c = 20.1803 Å
α = 90.00°, β = 90.00°, γ = 90.00°
Space group P4/mmm (No. 123)
Unique sites:
Tb  0.0000  0.0000  0.0000
Tb  0.0000  0.0000  0.2515
Y  0.0000  0.5000  0.1262
Y  0.0000  0.5000  0.3773
Y  0.5000  0.5000  0.0000
Y  0.5000  0.5000  0.2545
Y  0.5000  0.5000  0.5000
Mg  0.0000  0.0000  0.5000

## Properties
Calculated total energy (eV per atom): -5.79
Theoretical density (g/cm³): 5.1
Density of states at the Fermi level (states/eV/f.u.): 22.082
ΔE_f (meV/atom): 21